Compound: RbGdCoSe3
Source: OQMD
Functional: PBE
Structure: optimized geometry

Cell and atoms, written as POSCAR:
```
RbGdCoSe3
1.0
7.712 -2.056 0.000
7.712 2.056 0.000
0.000 0.000 10.916
Rb Se Gd Co
2 6 2 2
Cartesian
3.979 0.000 8.187
11.445 0.000 2.729
14.501 0.000 8.187
5.842 0.000 4.691
9.582 0.000 6.225
5.842 0.000 0.767
0.923 0.000 2.729
9.582 0.000 10.149
0.000 0.000 0.000
0.000 0.000 5.458
8.208 0.000 8.187
7.216 0.000 2.729
```

Properties
Total DFT energy (no corrections) ... -5.0255 eV/atom
Polymorph energy (0 for the lowest one) ... 0.000 eV per formula unit



Compound: CsNiAgTe3
Source: OQMD
Functional: PBE
Structure: optimized geometry

Cell and atoms, written as POSCAR:
```
CsNiAgTe3
1.0
8.507 -1.968 0.000
8.507 1.968 0.000
0.000 0.000 11.084
Te Ag Cs Ni
6 2 2 2
Cartesian
6.795 0.000 0.135
15.956 0.000 8.313
6.795 0.000 5.406
10.220 0.000 5.677
1.058 0.000 2.771
10.220 0.000 10.948
7.559 0.000 2.771
9.455 0.000 8.313
4.115 0.000 8.313
12.899 0.000 2.771
0.000 0.000 5.542
0.000 0.000 0.000
```

Properties
Total DFT energy (no corrections) ... -3.3699 eV/atom



Compound: SmBP2
Source: OQMD
Functional: PBE
Structure: optimized geometry

Cell and atoms, written as POSCAR:
```
SmBP2
1.0
3.562 0.000 0.000
-1.781 3.085 0.000
0.000 0.000 6.368
P Sm B
2 1 1
Cartesian
0.000 0.000 4.524
0.000 2.056 2.039
1.781 1.028 0.026
0.000 0.000 2.598
```

Properties
Total DFT energy (no corrections) ... -5.8233 eV/atom



Compound: NaLiNb2S4
Source: OQMD
Functional: PBE
Structure: optimized geometry

Cell and atoms, written as POSCAR:
```
NaLiNb2S4
1.0
-0.647 -2.317 -2.401
-1.003 -0.545 3.201
-13.909 7.140 -3.143
Na S Li Nb
1 4 1 2
Cartesian
0.000 0.000 0.000
-4.980 2.556 -1.125
-11.630 5.970 -2.628
-8.929 4.584 -2.018
-2.279 1.170 -0.515
-6.954 3.570 -1.572
-11.051 3.554 -2.858
-4.507 0.724 0.515
```

Properties
Total DFT energy (no corrections) ... -6.0198 eV/atom



Compound: BeCuOsPb
Source: OQMD
Functional: PBE
Structure: optimized geometry

Cell and atoms, written as POSCAR:
```
BeCuOsPb
1.0
-1.659 -4.030 0.712
-0.662 -1.417 4.130
-4.112 -0.454 1.546
Be Os Pb Cu
1 1 1 1
Cartesian
-3.216 -2.950 3.194
-1.608 -1.475 1.597
0.000 0.000 0.000
-4.825 -4.426 4.792
```

Properties
Total DFT energy (no corrections) ... -4.8852 eV/atom
Polymorph energy (0 for the lowest one) ... 0.000 eV per formula unit



Compound: TaCuSnPd
Source: OQMD
Functional: PBE
Structure: optimized geometry

Cell and atoms, written as POSCAR:
```
TaCuSnPd
1.0
1.467 -3.930 1.845
1.767 -0.027 4.228
-2.330 -1.924 3.445
Ta Pd Sn Cu
1 1 1 1
Cartesian
0.226 -1.470 2.380
0.452 -2.941 4.759
0.000 0.000 0.000
0.678 -4.411 7.139
```

Properties
Total DFT energy (no corrections) ... -6.1151 eV/atom
Polymorph energy (0 for the lowest one) ... 0.143 eV per formula unit



Compound: SrPmAsO
Source: OQMD
Functional: PBE
Structure: optimized geometry

Cell and atoms, written as POSCAR:
```
SrPmAsO
1.0
-4.059 -2.569 -1.393
2.358 -1.470 -4.159
3.143 -7.340 4.377
Pm Sr O As
2 2 2 2
Cartesian
2.325 -5.415 -1.279
-0.883 -5.964 0.104
-0.293 -1.318 -1.204
1.736 -10.061 0.029
-2.455 -2.294 -2.085
0.754 -1.745 -3.467
1.639 -5.829 1.486
-0.196 -5.550 -2.661
```

Properties
Total DFT energy (no corrections) ... -5.4785 eV/atom
Polymorph energy (0 for the lowest one) ... 2.322 eV per formula unit



Compound: NaHf
Source: OQMD
Functional: PBE
Structure: optimized geometry

Cell and atoms, written as POSCAR:
```
NaHf
1.0
0.000 2.903 2.903
2.903 0.000 2.903
2.903 2.903 0.000
Na Hf
1 1
Cartesian
2.903 2.903 2.903
0.000 0.000 0.000
```

Properties
Total DFT energy (no corrections) ... -3.9320 eV/atom
Polymorph energy (0 for the lowest one) ... 2.327 eV per formula unit